Entry 1:
! Zr2Ga5Rh3 GGA-PBE relaxed; values from VASP
! **Magnetization**: 0.0 μB per formula unit
! **Energy relative to the elements**: -666 meV per atom
&SYSTEM
  ibrav = 0, nat = 20, ntyp = 3
/
ATOMIC_SPECIES
Ga 69.72 Ga.upf
Rh 102.91 Rh.upf
Zr 91.22 Zr.upf
CELL_PARAMETERS angstrom
-2.752 -2.670 1.745
-0.516 -3.155 -5.641
10.591 -6.025 2.401
ATOMIC_POSITIONS angstrom
Ga 5.110 -5.922 -1.003
Ga 7.100 -7.128 0.291
Ga 5.184 -9.272 -0.926
Ga 4.953 -7.288 -3.339
Ga 2.180 -5.723 -0.235
Ga 6.898 -8.186 3.439
Ga 2.455 -4.452 2.144
Ga 2.132 -2.617 -0.642
Ga 0.613 -2.516 -2.884
Ga 0.060 -5.722 -3.577
Rh 0.438 -3.791 -5.111
Rh 4.035 -4.015 0.221
Rh 6.664 -9.414 1.190
Rh 7.289 -5.877 2.503
Rh 0.276 -4.494 -1.356
Rh 3.317 -7.659 -1.402
Zr 4.530 -6.884 1.697
Zr -1.160 -2.381 -0.388
Zr 2.810 -4.860 -3.004
Zr 8.489 -9.437 -1.051

=====

Entry 2:
! Li3GaS3 GGA-PBE relaxed; values from VASP
! **Energy relative to the elements, uncorrected**: -1085 meV/atom
! **Magnetization**: 0.0 μB per formula unit
&SYSTEM
  ibrav = 0, nat = 28, ntyp = 3
/
ATOMIC_SPECIES
Li 6.94 Li.upf
S 32.06 S.upf
Ga 69.72 Ga.upf
CELL_PARAMETERS angstrom
6.963 0.000 0.000
0.000 6.921 -0.508
0.000 0.028 11.651
ATOMIC_POSITIONS angstrom
Li 0.665 2.114 2.287
Li 4.545 4.494 6.508
Li 5.223 2.311 9.734
Li 2.816 2.128 8.113
Li 5.900 4.480 0.683
Li 5.221 2.297 3.909
Li 1.063 2.469 10.460
Li 1.740 4.638 1.409
Li 1.742 4.652 7.234
Li 4.147 4.821 3.030
Li 2.418 2.455 4.635
Li 6.298 4.835 8.856
S 3.082 2.629 2.264
S 2.691 4.915 4.987
S 6.563 4.306 3.054
S 6.172 2.020 0.331
S 0.791 4.929 10.813
S 6.543 5.937 6.649
S 3.062 1.025 10.320
S 3.881 4.320 8.879
S 0.400 2.643 8.089
S 3.901 5.923 0.823
S 0.420 1.012 4.494
S 4.272 2.034 6.156
Ga 6.343 1.274 6.594
Ga 4.101 1.260 0.769
Ga 2.862 5.689 10.374
Ga 0.620 5.675 4.549

=====

Repeat the first record exactly.
! Zr2Ga5Rh3 GGA-PBE relaxed; values from VASP
! **Magnetization**: 0.0 μB per formula unit
! **Energy relative to the elements**: -666 meV per atom
&SYSTEM
  ibrav = 0, nat = 20, ntyp = 3
/
ATOMIC_SPECIES
Ga 69.72 Ga.upf
Rh 102.91 Rh.upf
Zr 91.22 Zr.upf
CELL_PARAMETERS angstrom
-2.752 -2.670 1.745
-0.516 -3.155 -5.641
10.591 -6.025 2.401
ATOMIC_POSITIONS angstrom
Ga 5.110 -5.922 -1.003
Ga 7.100 -7.128 0.291
Ga 5.184 -9.272 -0.926
Ga 4.953 -7.288 -3.339
Ga 2.180 -5.723 -0.235
Ga 6.898 -8.186 3.439
Ga 2.455 -4.452 2.144
Ga 2.132 -2.617 -0.642
Ga 0.613 -2.516 -2.884
Ga 0.060 -5.722 -3.577
Rh 0.438 -3.791 -5.111
Rh 4.035 -4.015 0.221
Rh 6.664 -9.414 1.190
Rh 7.289 -5.877 2.503
Rh 0.276 -4.494 -1.356
Rh 3.317 -7.659 -1.402
Zr 4.530 -6.884 1.697
Zr -1.160 -2.381 -0.388
Zr 2.810 -4.860 -3.004
Zr 8.489 -9.437 -1.051

=====

Look up the magnetization of the second one.
0.0 μB per formula unit